The following is a PBEsol calculation of a geometry-optimized CaTlCd2 structure, from Alexandria via LeMat-Bulk.

Summary:
size of the total moment = 0.00 μB per formula unit
ρ = 7.2 g/cm³

a = 9.720 Å, b = 9.720 Å, c = 9.720 Å
α = 21.50°, β = 21.50°, γ = 21.50°
Atoms (fractional coordinates):
1 Ca 0.000 0.000 0.000
2 Tl 0.500 0.500 0.500
3 Cd 0.247 0.247 0.247
4 Cd 0.753 0.753 0.753

The following is a PBEsol calculation of a geometry-optimized Zr3Si structure, from Alexandria via LeMat-Bulk.

Summary:
size of the total moment = 0.00 μB per formula unit
raw formation energy = -361 meV per atom
ρ = 6.4 g/cm³

a = 5.429 Å, b = 5.429 Å, c = 5.429 Å
α = 137.16°, β = 133.47°, γ = 65.09°
Atoms (fractional coordinates):
1 Zr 0.000 0.000 0.000
2 Zr 0.260 0.760 0.500
3 Zr 0.740 0.240 0.500
4 Si 0.500 0.500 0.000

The following is a PBEsol calculation of a geometry-optimized AsPtSe4 structure, from Alexandria via LeMat-Bulk.

Summary:
size of the total moment = 0.00 μB per formula unit
raw formation energy = 919 meV per atom
ρ = 8.3 g/cm³

a = 5.485 Å, b = 5.485 Å, c = 5.485 Å
α = 60.00°, β = 60.00°, γ = 60.00°
Atoms (fractional coordinates):
1 As 0.000 0.000 0.000
2 Pt 0.750 0.750 0.750
3 Se 0.377 0.377 0.377
4 Se 0.377 0.377 0.870
5 Se 0.377 0.870 0.377
6 Se 0.870 0.377 0.377

In the order shown, the computed raw total energy values come out to -7.338, -34.460, -21.957 eV per formula unit.